[1]
ZnCdCo3, relaxed, DFT PBE; formation enthalpy at 0 K = 8.4 eV/f.u.; total energy = -3.0164 eV/atom
1.0
4.698 0.000 0.000
0.000 4.698 0.000
0.000 0.000 4.698
Cd Co Zn
1 3 1
direct
0.000 0.000 0.000
0.000 0.500 0.000
0.500 0.000 0.000
0.000 0.000 0.500
0.500 0.500 0.500

***

[2]
ZnCd3Co, relaxed, DFT PBE; formation enthalpy at 0 K = 4.3 eV/f.u.; total energy = -1.3629 eV/atom
1.0
-0.288 4.176 2.651
-0.532 -2.666 4.143
4.918 -0.044 0.604
Cd Zn Co
3 1 1
direct
0.000 0.000 0.500
0.500 0.000 0.000
0.000 0.500 0.000
0.000 0.000 0.000
0.500 0.500 0.500

***

Question: formation enthalpy at 0 K of number 1 (ZnCdCo3)?
Answer: 8.4 eV/f.u.

***

Question: The highest formation enthalpy at 0 K belongs to which entry?
Answer: ZnCdCo3

***

Question: The lowest total energy belongs to which entry?
Answer: ZnCdCo3

***

Question: Look up the formation enthalpy at 0 K of the first one.
Answer: 8.4 eV/f.u.